(1)
Here is NaSr2ReN4 after structural relaxation from Alexandria. Energies are from PBE.

Values from the calculation:
The size of the total moment is 0.000 μB/f.u. The calculated density is 5203 kg/m3. The crystal system is orthorhombic. Its symmetry is Pmn2_1, No. 31.

a = 7.688 Å, b = 6.055 Å, c = 6.040 Å
α = 90.00°, β = 90.00°, γ = 90.00°
Positions (direct):
Na1 0.000 0.234 0.000
Na2 0.500 0.766 0.500
Sr1 0.245 0.714 0.015
Sr2 0.255 0.286 0.515
Sr3 0.745 0.286 0.515
Sr4 0.755 0.714 0.015
Re1 0.000 0.726 0.480
Re2 0.500 0.274 0.980
N1 0.000 0.505 0.271
N2 0.000 0.578 0.751
N3 0.199 0.884 0.434
N4 0.301 0.116 0.934
N5 0.500 0.422 0.251
N6 0.500 0.495 0.771
N7 0.699 0.116 0.934
N8 0.801 0.884 0.434



(2)
Here is Na2TbReN4 after structural relaxation from Alexandria. Energies are from PBE.

Values from the calculation:
The size of the total moment is 0.000 μB/f.u. The calculated density is 5578 kg/m3. The crystal system is orthorhombic. Its symmetry is Pmn2_1, No. 31.

a = 7.005 Å, b = 6.715 Å, c = 5.660 Å
α = 90.00°, β = 90.00°, γ = 90.00°
Positions (direct):
Na1 0.246 0.154 0.000
Na2 0.254 0.846 0.500
Na3 0.746 0.846 0.500
Na4 0.754 0.154 0.000
Tb1 0.000 0.364 0.505
Tb2 0.500 0.636 0.005
Re1 0.000 0.670 0.018
Re2 0.500 0.330 0.518
N1 0.000 0.412 0.909
N2 0.000 0.661 0.339
N3 0.220 0.800 0.926
N4 0.280 0.200 0.426
N5 0.500 0.339 0.839
N6 0.500 0.588 0.409
N7 0.720 0.200 0.426
N8 0.780 0.800 0.926



(3)
Here is Na2ReTcN4 after structural relaxation from Alexandria. Energies are from PBE.

Values from the calculation:
The size of the total moment is 0.000 μB/f.u. The calculated density is 5362 kg/m3. The crystal system is orthorhombic. Its symmetry is Pmn2_1, No. 31.

a = 6.574 Å, b = 6.099 Å, c = 5.967 Å
α = 90.00°, β = 90.00°, γ = 90.00°
Positions (direct):
Na1 0.250 0.231 0.000
Na2 0.250 0.769 0.500
Na3 0.750 0.231 0.000
Na4 0.750 0.769 0.500
Re1 0.000 0.320 0.489
Re2 0.500 0.680 0.989
Tc1 0.000 0.686 0.989
Tc2 0.500 0.314 0.489
N1 0.000 0.488 0.749
N2 0.000 0.522 0.256
N3 0.245 0.157 0.467
N4 0.255 0.843 0.967
N5 0.500 0.478 0.756
N6 0.500 0.512 0.249
N7 0.745 0.843 0.967
N8 0.755 0.157 0.467



(4)
Here is NaReTeN2 after structural relaxation from Alexandria. Energies are from PBE.

Values from the calculation:
The energy above the most stable polymorph in this dataset is 2600 meV/atom. The size of the total moment is 0.000 μB/f.u. The calculated density is 7195 kg/m3. The crystal system is tetragonal. Its symmetry is P4/mmm, No. 123.

a = 4.038 Å, b = 4.038 Å, c = 5.162 Å
α = 90.00°, β = 90.00°, γ = 90.00°
Positions (direct):
Na1 0.000 0.000 0.000
Re1 0.500 0.500 0.500
Te1 0.000 0.000 0.500
N1 0.000 0.500 0.000
N2 0.500 0.000 0.000



| no. | E_form (uncorrected) (eV per atom) |
| --- | --- |
| 1 | -0.702 |
| 2 | -0.635 |
| 3 | -0.136 |
| 4 | 2.865 |